A relaxed structure of Ca2Cd2Si. Source: Alexandria via LeMat-Bulk, functional PBE.

SG: P4/mbm, No. 127
Formation energy without anion corrections in eV per atom: -0.161
Distance to the lowest polymorph of the same formula in meV/atom: 0

Lattice parameters (Å, degrees): 7.311 7.311 4.868 90.00 90.00 90.00
Atoms (fractional coordinates):
Ca  0.177  0.323  0.000
Ca  0.323  0.823  0.000
Ca  0.677  0.177  0.000
Ca  0.823  0.677  0.000
Cd  0.135  0.635  0.500
Cd  0.365  0.135  0.500
Cd  0.635  0.865  0.500
Cd  0.865  0.365  0.500
Si  0.000  0.000  0.500
Si  0.500  0.500  0.500

---

A relaxed structure of Ca6Cd5Si. Source: Alexandria via LeMat-Bulk, functional PBE.

SG: Cmmm, No. 65
Formation energy without anion corrections in eV per atom: -0.357

Lattice parameters (Å, degrees): 8.436 8.436 7.669 90.00 90.00 143.26
Atoms (fractional coordinates):
Ca  0.000  0.000  0.238
Ca  0.000  0.000  0.762
Ca  0.340  0.660  0.245
Ca  0.340  0.660  0.755
Ca  0.660  0.340  0.245
Ca  0.660  0.340  0.755
Cd  0.169  0.831  0.500
Cd  0.174  0.826  0.000
Cd  0.500  0.500  0.500
Cd  0.826  0.174  0.000
Cd  0.831  0.169  0.500
Si  0.500  0.500  0.000

---

A relaxed structure of Ca8Cd2Si. Source: Alexandria via LeMat-Bulk, functional PBE.

SG: Immm, No. 71
Formation energy without anion corrections in eV per atom: -0.149

Lattice parameters (Å, degrees): 9.337 9.337 9.337 147.88 124.83 65.28
Atoms (fractional coordinates):
Ca  0.114  0.340  0.774
Ca  0.137  0.137  0.000
Ca  0.307  0.000  0.307
Ca  0.435  0.660  0.774
Ca  0.565  0.340  0.226
Ca  0.693  0.000  0.693
Ca  0.863  0.863  0.000
Ca  0.886  0.660  0.226
Cd  0.312  0.812  0.500
Cd  0.688  0.188  0.500
Si  0.000  0.500  0.500

---

A relaxed structure of CaCd4Si. Source: Alexandria via LeMat-Bulk, functional PBE.

SG: F-43m, No. 216
Formation energy without anion corrections in eV per atom: 0.073

Lattice parameters (Å, degrees): 5.882 5.882 5.882 60.00 60.00 60.00
Atoms (fractional coordinates):
Ca  0.000  0.000  0.000
Cd  0.126  0.625  0.625
Cd  0.625  0.126  0.625
Cd  0.625  0.625  0.126
Cd  0.625  0.625  0.625
Si  0.250  0.250  0.250

---

A relaxed structure of CaCdSi4. Source: Alexandria via LeMat-Bulk, functional PBE.

SG: F-43m, No. 216
Formation energy without anion corrections in eV per atom: 0.065

Lattice parameters (Å, degrees): 5.344 5.344 5.344 60.00 60.00 60.00
Atoms (fractional coordinates):
Ca  0.000  0.000  0.000
Cd  0.750  0.750  0.750
Si  0.375  0.375  0.375
Si  0.375  0.375  0.876
Si  0.375  0.876  0.375
Si  0.876  0.375  0.375

---

A relaxed structure of CaCd3Si. Source: Alexandria via LeMat-Bulk, functional PBE.

SG: Pm-3m, No. 221
Formation energy without anion corrections in eV per atom: 1.052
Distance to the lowest polymorph of the same formula in meV/atom: 876

Lattice parameters (Å, degrees): 5.754 5.754 5.754 90.00 90.00 90.00
Atoms (fractional coordinates):
Ca  0.000  0.000  0.000
Cd  0.000  0.000  0.500
Cd  0.000  0.500  0.000
Cd  0.500  0.000  0.000
Si  0.500  0.500  0.500

---

A relaxed structure of Ca2Cd2Si. Source: Alexandria via LeMat-Bulk, functional PBE.

SG: I4/mmm, No. 139
Formation energy without anion corrections in eV per atom: -0.098
Distance to the lowest polymorph of the same formula in meV/atom: 63

Lattice parameters (Å, degrees): 9.731 9.731 9.731 156.94 156.94 32.84
Atoms (fractional coordinates):
Ca  0.090  0.090  0.000
Ca  0.910  0.910  0.000
Cd  0.250  0.750  0.500
Cd  0.750  0.250  0.500
Si  0.500  0.500  0.000

---

A relaxed structure of SrCaCdSi. Source: Alexandria via LeMat-Bulk, functional PBE.

SG: F-43m, No. 216
Formation energy without anion corrections in eV per atom: -0.322

Lattice parameters (Å, degrees): 5.390 5.390 5.390 60.00 60.00 60.00
Atoms (fractional coordinates):
Sr  0.000  0.000  0.000
Ca  0.500  0.500  0.500
Cd  0.750  0.750  0.750
Si  0.250  0.250  0.250

---

A relaxed structure of SrCa2CdSi. Source: Alexandria via LeMat-Bulk, functional PBE.

SG: P4/mmm, No. 123
Formation energy without anion corrections in eV per atom: -0.133

Lattice parameters (Å, degrees): 5.680 5.680 6.047 90.00 90.00 90.00
Atoms (fractional coordinates):
Sr  0.000  0.000  0.000
Ca  0.000  0.500  0.500
Ca  0.500  0.000  0.500
Cd  0.500  0.500  0.000
Si  0.000  0.000  0.500

---

A relaxed structure of CaTmCdSi. Source: Alexandria via LeMat-Bulk, functional PBE.

SG: F-43m, No. 216
Formation energy without anion corrections in eV per atom: -0.316

Lattice parameters (Å, degrees): 5.121 5.121 5.121 60.00 60.00 60.00
Atoms (fractional coordinates):
Ca  0.000  0.000  0.000
Tm  0.500  0.500  0.500
Cd  0.250  0.250  0.250
Si  0.750  0.750  0.750

---

A relaxed structure of CaSmCd. Source: Alexandria via LeMat-Bulk, functional PBE.

SG: I4mm, No. 107
DFT formation energy in eV per formula unit: -0.5
Distance to the lowest polymorph of the same formula in meV/atom: 2

Lattice parameters (Å, degrees): 7.292 7.292 7.292 150.34 150.34 42.44
Atoms (fractional coordinates):
Ca  0.000  0.000  0.000
Sm  0.289  0.289  0.000
Cd  0.649  0.649  0.000

---

A relaxed structure of CaSmCd4. Source: Alexandria via LeMat-Bulk, functional PBE.

SG: F-43m, No. 216
DFT formation energy in eV per formula unit: -1.7
Distance to the lowest polymorph of the same formula in meV/atom: 56

Lattice parameters (Å, degrees): 5.984 5.984 5.984 60.00 60.00 60.00
Atoms (fractional coordinates):
Ca  0.000  0.000  0.000
Sm  0.250  0.250  0.250
Cd  0.126  0.624  0.624
Cd  0.624  0.126  0.624
Cd  0.624  0.624  0.126
Cd  0.624  0.624  0.624